1.
VASP calculation (GGA-PBE) on a relaxed Sc2GeBi crystal.

Values from the calculation:
* magnetization: 0.0 Bohr magnetons per cell
* offset from the most stable computed form: 0 meV per atom
* total energy: -5.93 eV/atom
* SG: R3m (160)

abc: 6.4956 6.4956 6.4956
angles: 39.09 39.09 39.09
Last column: nearest neighbours and their distance in Å.
Atoms (fractional coordinates):
Sc (0.0000, 0.0000, 0.0000)  3 Ge 2.81, 3 Bi 3.04
Sc (0.1964, 0.1964, 0.1964)  3 Ge 2.78, 3 Bi 3.10
Ge (0.5959, 0.5959, 0.5959)  6 Sc 2.78-2.81, 1 Bi 3.01
Bi (0.4285, 0.4285, 0.4285)  1 Ge 3.01, 6 Sc 3.04-3.10

---

2.
VASP calculation (GGA-PBE) on a relaxed Sc6Ge2BiSe3 crystal.

Values from the calculation:
* uncorrected formation energy: -1.200 eV/atom
* magnetization: 0.0 Bohr magnetons per cell
* total energy: -6.33 eV/atom
* SG: C2/m (12)

abc: 8.8536 8.8536 7.9767
angles: 102.99 102.99 25.74
Last column: nearest neighbours and their distance in Å.
Atoms (fractional coordinates):
Sc (0.0067, 0.0067, 0.2690)  1 Ge 2.71, 3 Se 2.72-2.87, 2 Bi 2.90
Sc (0.3259, 0.3259, 0.8966)  3 Se 2.73-2.89, 2 Ge 2.73, 1 Bi 2.93
Sc (0.3291, 0.3291, 0.4224)  3 Ge 2.71-2.75, 3 Se 2.86-2.87
Sc (0.6709, 0.6709, 0.5776)  3 Ge 2.71-2.75, 3 Se 2.86-2.87
Sc (0.6741, 0.6741, 0.1034)  3 Se 2.73-2.89, 2 Ge 2.73, 1 Bi 2.93
Sc (0.9933, 0.9933, 0.7310)  1 Ge 2.71, 3 Se 2.72-2.87, 2 Bi 2.90
Ge (0.1678, 0.1678, 0.3364)  6 Sc 2.71-2.75
Ge (0.8322, 0.8322, 0.6636)  6 Sc 2.71-2.75
Bi (0.5000, 0.5000, 0.0000)  6 Sc 2.90-2.93
Se (0.1639, 0.1639, 0.8340)  6 Sc 2.73-2.89
Se (0.5000, 0.5000, 0.5000)  6 Sc 2.72-2.87
Se (0.8361, 0.8361, 0.1660)  6 Sc 2.73-2.89

---

3.
VASP calculation (GGA-PBE) on a relaxed Sc8Ge3BiTe4 crystal.

Values from the calculation:
* uncorrected formation energy: -0.998 eV/atom
* magnetization: 0.0 Bohr magnetons per cell
* total energy: -6.06 eV/atom
* SG: R-3m (166)

abc: 8.2173 8.2173 8.2173
angles: 59.49 59.49 59.49
Last column: nearest neighbours and their distance in Å.
Atoms (fractional coordinates):
Sc (0.2250, 0.7497, 0.7497)  2 Ge 2.75, 1 Bi 2.90, 3 Te 2.91-3.05
Sc (0.2393, 0.2393, 0.2393)  3 Ge 2.77, 3 Te 3.02
Sc (0.2503, 0.2503, 0.7750)  2 Ge 2.75, 1 Bi 2.90, 3 Te 2.91-3.05
Sc (0.2503, 0.7750, 0.2503)  2 Ge 2.75, 1 Bi 2.90, 3 Te 2.91-3.05
Sc (0.7497, 0.2250, 0.7497)  2 Ge 2.75, 1 Bi 2.90, 3 Te 2.91-3.05
Sc (0.7497, 0.7497, 0.2250)  2 Ge 2.75, 1 Bi 2.90, 3 Te 2.91-3.05
Sc (0.7607, 0.7607, 0.7607)  3 Ge 2.77, 3 Te 3.02
Sc (0.7750, 0.2503, 0.2503)  2 Ge 2.75, 1 Bi 2.90, 3 Te 2.91-3.05
Ge (0.0000, 0.0000, 0.5000)  6 Sc 2.75-2.77
Ge (0.0000, 0.5000, 0.0000)  6 Sc 2.75-2.77
Ge (0.5000, 0.0000, 0.0000)  6 Sc 2.75-2.77
Bi (0.5000, 0.5000, 0.5000)  6 Sc 2.90
Te (0.0000, 0.0000, 0.0000)  6 Sc 2.91
Te (0.0000, 0.5000, 0.5000)  6 Sc 3.02-3.05
Te (0.5000, 0.0000, 0.5000)  6 Sc 3.02-3.05
Te (0.5000, 0.5000, 0.0000)  6 Sc 3.02-3.05

---

4.
VASP calculation (GGA-PBE) on a relaxed Sc6Ge2BiTe3 crystal.

Values from the calculation:
* uncorrected formation energy: -0.994 eV/atom
* magnetization: 0.0 Bohr magnetons per cell
* total energy: -6.04 eV/atom
* SG: C2/m (12)

abc: 9.1871 9.1871 8.2725
angles: 103.21 103.21 25.65
Last column: nearest neighbours and their distance in Å.
Atoms (fractional coordinates):
Sc (0.0136, 0.0136, 0.2579)  1 Ge 2.70, 2 Te 2.91, 2 Bi 2.92
Sc (0.3254, 0.3254, 0.4325)  3 Ge 2.73-2.77, 3 Te 3.05-3.06
Sc (0.3291, 0.3291, 0.8842)  2 Ge 2.75, 3 Te 2.92-3.07, 1 Bi 2.99
Sc (0.6709, 0.6709, 0.1158)  2 Ge 2.75, 3 Te 2.92-3.07, 1 Bi 2.99
Sc (0.6746, 0.6746, 0.5675)  3 Ge 2.73-2.77, 3 Te 3.05-3.06
Sc (0.9864, 0.9864, 0.7421)  1 Ge 2.70, 2 Te 2.91, 2 Bi 2.92
Ge (0.1689, 0.1689, 0.3378)  6 Sc 2.70-2.77
Ge (0.8311, 0.8311, 0.6622)  6 Sc 2.70-2.77
Bi (0.5000, 0.5000, 0.0000)  6 Sc 2.92-2.99
Te (0.1621, 0.1621, 0.8348)  6 Sc 2.92-3.07
Te (0.5000, 0.5000, 0.5000)  6 Sc 2.91-3.05
Te (0.8379, 0.8379, 0.1652)  6 Sc 2.92-3.07

---

5.
VASP calculation (GGA-PBE) on a relaxed GeBi2Se6 crystal.

Values from the calculation:
* uncorrected formation energy: 0.036 eV/atom
* magnetization: 0.0 Bohr magnetons per cell
* total energy: -3.66 eV/atom
* SG: P4_2/mnm (136)

abc: 6.5672 6.5672 12.5602
angles: 90.00 90.00 90.00
Last column: nearest neighbours and their distance in Å.
Atoms (fractional coordinates):
Ge (0.0000, 0.0000, 0.0000)  6 Se 2.55-2.58
Ge (0.5000, 0.5000, 0.5000)  6 Se 2.55-2.58
Bi (0.0000, 0.0000, 0.3322)  6 Se 2.87-2.95
Bi (0.0000, 0.0000, 0.6678)  6 Se 2.87-2.95
Bi (0.5000, 0.5000, 0.1678)  6 Se 2.87-2.95
Bi (0.5000, 0.5000, 0.8322)  6 Se 2.87-2.95
Se (0.1856, 0.1856, 0.1499)  1 Ge 2.55
Se (0.1856, 0.1856, 0.8501)  1 Ge 2.55
Se (0.2223, 0.2223, 0.5000)  1 Ge 2.58
Se (0.2777, 0.7223, 0.0000)  1 Ge 2.58
Se (0.3144, 0.6856, 0.3501)  1 Ge 2.55
Se (0.3144, 0.6856, 0.6499)  1 Ge 2.55
Se (0.6856, 0.3144, 0.3501)  1 Ge 2.55
Se (0.6856, 0.3144, 0.6499)  1 Ge 2.55
Se (0.7223, 0.2777, 0.0000)  1 Ge 2.58
Se (0.7777, 0.7777, 0.5000)  1 Ge 2.58
Se (0.8144, 0.8144, 0.1499)  1 Ge 2.55
Se (0.8144, 0.8144, 0.8501)  1 Ge 2.55

---

6.
VASP calculation (GGA-PBE) on a relaxed Ge2BiSe4 crystal.

Values from the calculation:
* uncorrected formation energy: -0.126 eV/atom
* magnetization: 0.0 Bohr magnetons per cell
* total energy: -3.99 eV/atom
* SG: I4/m (87)

abc: 6.4094 6.4094 6.4094
angles: 105.20 105.20 118.41
Last column: nearest neighbours and their distance in Å.
Atoms (fractional coordinates):
Ge (0.2500, 0.7500, 0.5000)  4 Se 2.54
Ge (0.7500, 0.2500, 0.5000)  4 Se 2.54
Bi (0.0000, 0.0000, 0.0000)  4 Se 2.96
Se (0.1839, 0.3329, 0.5168)  2 Ge 2.54
Se (0.3329, 0.8161, 0.1489)  2 Ge 2.54
Se (0.6671, 0.1839, 0.8511)  2 Ge 2.54
Se (0.8161, 0.6671, 0.4832)  2 Ge 2.54